# 1
# GGA-PBE Na2SbAu, optimized geometry
# Spin magnetization ... 0.00 μB/f.u.
# D(E_F) ... 0.48 states/eV/cell
# Space group ... P4/mmm, No. 123
# E_form (uncorrected) ... -0.284 eV per atom
# Electronic total energy ... -2.794 eV/atom
data_Na2SbAu
_chemical_formula_sum 'Na2 Sb1 Au1'
_cell_length_a 3.243
_cell_length_b 3.243
_cell_length_c 8.991
_cell_angle_alpha 90.00
_cell_angle_beta 90.00
_cell_angle_gamma 90.00
_symmetry_space_group_name_H-M 'P 1'
_symmetry_Int_Tables_number 1
_symmetry_space_group_name_Hall 'P 1'
loop_
_atom_site_label
_atom_site_type_symbol
_atom_site_fract_x
_atom_site_fract_y
_atom_site_fract_z
_atom_site_occupancy
Na1 Na 0.000 0.000 0.228 1
Na2 Na 0.000 0.000 0.772 1
Sb1 Sb 0.500 0.500 0.500 1
Au1 Au 0.500 0.500 0.000 1

# 2
# GGA-PBE Na2SbAu, optimized geometry
# Spin magnetization ... 0.00 μB/f.u.
# Space group ... Cmcm, No. 63
# E_form (uncorrected) ... -0.458 eV per atom
# Electronic total energy ... -2.968 eV/atom
data_Na2SbAu
_chemical_formula_sum 'Na8 Sb4 Au4'
_cell_length_a 9.364
_cell_length_b 7.547
_cell_length_c 5.964
_cell_angle_alpha 90.00
_cell_angle_beta 90.00
_cell_angle_gamma 90.00
_symmetry_space_group_name_H-M 'P 1'
_symmetry_Int_Tables_number 1
_symmetry_space_group_name_Hall 'P 1'
loop_
_atom_site_label
_atom_site_type_symbol
_atom_site_fract_x
_atom_site_fract_y
_atom_site_fract_z
_atom_site_occupancy
Na1 Na 0.179 0.166 0.250 1
Na2 Na 0.179 0.834 0.750 1
Na3 Na 0.321 0.334 0.750 1
Na4 Na 0.321 0.666 0.250 1
Na5 Na 0.679 0.334 0.750 1
Na6 Na 0.679 0.666 0.250 1
Na7 Na 0.821 0.166 0.250 1
Na8 Na 0.821 0.834 0.750 1
Sb1 Sb 0.000 0.201 0.750 1
Sb2 Sb 0.000 0.799 0.250 1
Sb3 Sb 0.500 0.299 0.250 1
Sb4 Sb 0.500 0.701 0.750 1
Au1 Au 0.000 0.500 0.000 1
Au2 Au 0.000 0.500 0.500 1
Au3 Au 0.500 0.000 0.000 1
Au4 Au 0.500 0.000 0.500 1

# 3
# GGA-PBE Na3Sb3Au, optimized geometry
# Spin magnetization ... 0.00 μB/f.u.
# D(E_F) ... 2.94 states/eV/cell
# Space group ... C2/m, No. 12
# E_form (uncorrected) ... -0.339 eV per atom
# Electronic total energy ... -3.139 eV/atom
data_Na3Sb3Au
_chemical_formula_sum 'Na6 Sb6 Au2'
_cell_length_a 6.170
_cell_length_b 6.170
_cell_length_c 15.277
_cell_angle_alpha 108.03
_cell_angle_beta 108.03
_cell_angle_gamma 45.83
_symmetry_space_group_name_H-M 'P 1'
_symmetry_Int_Tables_number 1
_symmetry_space_group_name_Hall 'P 1'
loop_
_atom_site_label
_atom_site_type_symbol
_atom_site_fract_x
_atom_site_fract_y
_atom_site_fract_z
_atom_site_occupancy
Na1 Na 0.027 0.027 0.377 1
Na2 Na 0.093 0.093 0.917 1
Na3 Na 0.243 0.243 0.235 1
Na4 Na 0.757 0.757 0.765 1
Na5 Na 0.907 0.907 0.083 1
Na6 Na 0.973 0.973 0.623 1
Sb1 Sb 0.364 0.364 0.464 1
Sb2 Sb 0.383 0.383 0.924 1
Sb3 Sb 0.466 0.466 0.767 1
Sb4 Sb 0.534 0.534 0.233 1
Sb5 Sb 0.617 0.617 0.076 1
Sb6 Sb 0.636 0.636 0.536 1
Au1 Au 0.251 0.251 0.614 1
Au2 Au 0.749 0.749 0.386 1

# 4
# GGA-PBE NaSb2Au, optimized geometry
# E above lowest polymorph ... 0.066 eV/atom
# Spin magnetization ... 0.00 μB/f.u.
# D(E_F) ... 3.57 states/eV/cell
# Space group ... R3m, No. 160
# E_form (uncorrected) ... -0.147 eV per atom
# Electronic total energy ... -3.357 eV/atom
data_NaSb2Au
_chemical_formula_sum 'Na3 Sb6 Au3'
_cell_length_a 4.324
_cell_length_b 4.324
_cell_length_c 20.856
_cell_angle_alpha 90.00
_cell_angle_beta 90.00
_cell_angle_gamma 120.00
_symmetry_space_group_name_H-M 'P 1'
_symmetry_Int_Tables_number 1
_symmetry_space_group_name_Hall 'P 1'
loop_
_atom_site_label
_atom_site_type_symbol
_atom_site_fract_x
_atom_site_fract_y
_atom_site_fract_z
_atom_site_occupancy
Na1 Na 0.000 0.000 0.000 1
Na2 Na 0.333 0.667 0.667 1
Na3 Na 0.667 0.333 0.333 1
Sb1 Sb 0.000 0.000 0.229 1
Sb2 Sb 0.000 0.000 0.439 1
Sb3 Sb 0.333 0.667 0.106 1
Sb4 Sb 0.333 0.667 0.896 1
Sb5 Sb 0.667 0.333 0.563 1
Sb6 Sb 0.667 0.333 0.773 1
Au1 Au 0.000 0.000 0.835 1
Au2 Au 0.333 0.667 0.501 1
Au3 Au 0.667 0.333 0.168 1

# 5
# GGA-PBE Na5Sb5Au2, optimized geometry
# Spin magnetization ... 0.00 μB/f.u.
# D(E_F) ... 5.75 states/eV/cell
# Space group ... C2/m, No. 12
# E_form (uncorrected) ... -0.294 eV per atom
# Electronic total energy ... -3.108 eV/atom
data_Na5Sb5Au2
_chemical_formula_sum 'Na5 Sb5 Au2'
_cell_length_a 8.351
_cell_length_b 8.351
_cell_length_c 10.086
_cell_angle_alpha 123.81
_cell_angle_beta 123.81
_cell_angle_gamma 33.55
_symmetry_space_group_name_H-M 'P 1'
_symmetry_Int_Tables_number 1
_symmetry_space_group_name_Hall 'P 1'
loop_
_atom_site_label
_atom_site_type_symbol
_atom_site_fract_x
_atom_site_fract_y
_atom_site_fract_z
_atom_site_occupancy
Na1 Na 0.000 0.000 0.000 1
Na2 Na 0.137 0.137 0.435 1
Na3 Na 0.167 0.167 0.862 1
Na4 Na 0.833 0.833 0.138 1
Na5 Na 0.863 0.863 0.565 1
Sb1 Sb 0.263 0.263 0.266 1
Sb2 Sb 0.475 0.475 0.175 1
Sb3 Sb 0.500 0.500 0.500 1
Sb4 Sb 0.525 0.525 0.825 1
Sb5 Sb 0.737 0.737 0.734 1
Au1 Au 0.342 0.342 0.794 1
Au2 Au 0.658 0.658 0.206 1

# 6
# GGA-PBE NaSb2Au2, optimized geometry
# E above lowest polymorph ... 0.093 eV/atom
# Spin magnetization ... 0.00 μB/f.u.
# D(E_F) ... 4.70 states/eV/cell
# Space group ... P4/mbm, No. 127
# E_form (uncorrected) ... -0.073 eV per atom
# Electronic total energy ... -3.296 eV/atom
data_NaSb2Au2
_chemical_formula_sum 'Na2 Sb4 Au4'
_cell_length_a 8.385
_cell_length_b 8.385
_cell_length_c 3.403
_cell_angle_alpha 90.00
_cell_angle_beta 90.00
_cell_angle_gamma 90.00
_symmetry_space_group_name_H-M 'P 1'
_symmetry_Int_Tables_number 1
_symmetry_space_group_name_Hall 'P 1'
loop_
_atom_site_label
_atom_site_type_symbol
_atom_site_fract_x
_atom_site_fract_y
_atom_site_fract_z
_atom_site_occupancy
Na1 Na 0.000 0.000 0.000 1
Na2 Na 0.500 0.500 0.000 1
Sb1 Sb 0.145 0.355 0.000 1
Sb2 Sb 0.355 0.855 0.000 1
Sb3 Sb 0.645 0.145 0.000 1
Sb4 Sb 0.855 0.645 0.000 1
Au1 Au 0.158 0.658 0.500 1
Au2 Au 0.342 0.158 0.500 1
Au3 Au 0.658 0.842 0.500 1
Au4 Au 0.842 0.342 0.500 1

# 7
# GGA-PBE Na2SbAu2, optimized geometry
# E above lowest polymorph ... 0.000 eV/atom
# Spin magnetization ... 0.00 μB/f.u.
# D(E_F) ... 1.74 states/eV/cell
# Space group ... C2/c, No. 15
# E_form (uncorrected) ... -0.367 eV per atom
# Electronic total energy ... -3.030 eV/atom
data_Na2SbAu2
_chemical_formula_sum 'Na4 Sb2 Au4'
_cell_length_a 5.751
_cell_length_b 5.751
_cell_length_c 8.681
_cell_angle_alpha 99.88
_cell_angle_beta 99.88
_cell_angle_gamma 59.26
_symmetry_space_group_name_H-M 'P 1'
_symmetry_Int_Tables_number 1
_symmetry_space_group_name_Hall 'P 1'
loop_
_atom_site_label
_atom_site_type_symbol
_atom_site_fract_x
_atom_site_fract_y
_atom_site_fract_z
_atom_site_occupancy
Na1 Na 0.016 0.292 0.160 1
Na2 Na 0.292 0.016 0.660 1
Na3 Na 0.708 0.984 0.340 1
Na4 Na 0.984 0.708 0.840 1
Sb1 Sb 0.339 0.661 0.250 1
Sb2 Sb 0.661 0.339 0.750 1
Au1 Au 0.242 0.496 0.514 1
Au2 Au 0.496 0.242 0.014 1
Au3 Au 0.504 0.758 0.986 1
Au4 Au 0.758 0.504 0.486 1

# 8
# GGA-PBE Na3Sb5Au6, optimized geometry
# Spin magnetization ... 0.00 μB/f.u.
# D(E_F) ... 11.14 states/eV/cell
# Space group ... Pmmn, No. 59
# E_form (uncorrected) ... -0.230 eV per atom
# Electronic total energy ... -3.390 eV/atom
data_Na3Sb5Au6
_chemical_formula_sum 'Na6 Sb10 Au12'
_cell_length_a 4.542
_cell_length_b 13.524
_cell_length_c 10.905
_cell_angle_alpha 90.00
_cell_angle_beta 90.00
_cell_angle_gamma 90.00
_symmetry_space_group_name_H-M 'P 1'
_symmetry_Int_Tables_number 1
_symmetry_space_group_name_Hall 'P 1'
loop_
_atom_site_label
_atom_site_type_symbol
_atom_site_fract_x
_atom_site_fract_y
_atom_site_fract_z
_atom_site_occupancy
Na1 Na 0.250 0.065 0.249 1
Na2 Na 0.250 0.435 0.249 1
Na3 Na 0.250 0.750 0.244 1
Na4 Na 0.750 0.250 0.756 1
Na5 Na 0.750 0.565 0.751 1
Na6 Na 0.750 0.935 0.751 1
Sb1 Sb 0.250 0.077 0.887 1
Sb2 Sb 0.250 0.423 0.887 1
Sb3 Sb 0.250 0.614 0.519 1
Sb4 Sb 0.250 0.750 0.768 1
Sb5 Sb 0.250 0.886 0.519 1
Sb6 Sb 0.750 0.114 0.481 1
Sb7 Sb 0.750 0.250 0.232 1
Sb8 Sb 0.750 0.386 0.481 1
Sb9 Sb 0.750 0.577 0.113 1
Sb10 Sb 0.750 0.923 0.113 1
Au1 Au 0.250 0.075 0.639 1
Au2 Au 0.250 0.250 0.068 1
Au3 Au 0.250 0.250 0.481 1
Au4 Au 0.250 0.425 0.639 1
Au5 Au 0.250 0.619 0.979 1
Au6 Au 0.250 0.881 0.979 1
Au7 Au 0.750 0.119 0.021 1
Au8 Au 0.750 0.381 0.021 1
Au9 Au 0.750 0.575 0.361 1
Au10 Au 0.750 0.750 0.519 1
Au11 Au 0.750 0.750 0.932 1
Au12 Au 0.750 0.925 0.361 1

# 9
# GGA-PBE Na3SbAu, optimized geometry
# E above lowest polymorph ... 0.056 eV/atom
# Spin magnetization ... 0.00 μB/f.u.
# D(E_F) ... 3.05 states/eV/cell
# Space group ... C2/m, No. 12
# E_form (uncorrected) ... -0.303 eV per atom
# Electronic total energy ... -2.575 eV/atom
data_Na3SbAu
_chemical_formula_sum 'Na6 Sb2 Au2'
_cell_length_a 6.630
_cell_length_b 6.630
_cell_length_c 6.481
_cell_angle_alpha 101.00
_cell_angle_beta 101.00
_cell_angle_gamma 87.27
_symmetry_space_group_name_H-M 'P 1'
_symmetry_Int_Tables_number 1
_symmetry_space_group_name_Hall 'P 1'
loop_
_atom_site_label
_atom_site_type_symbol
_atom_site_fract_x
_atom_site_fract_y
_atom_site_fract_z
_atom_site_occupancy
Na1 Na 0.102 0.744 0.701 1
Na2 Na 0.256 0.898 0.299 1
Na3 Na 0.417 0.417 0.239 1
Na4 Na 0.583 0.583 0.761 1
Na5 Na 0.744 0.102 0.701 1
Na6 Na 0.898 0.256 0.299 1
Sb1 Sb 0.235 0.235 0.750 1
Sb2 Sb 0.765 0.765 0.250 1
Au1 Au 0.000 0.500 0.000 1
Au2 Au 0.500 0.000 0.000 1

# 10
# GGA-PBE Na3Sb2Au3, optimized geometry
# Spin magnetization ... 0.00 μB/f.u.
# D(E_F) ... 7.24 states/eV/cell
# Space group ... Pnma, No. 62
# E_form (uncorrected) ... -0.331 eV per atom
# Electronic total energy ... -3.085 eV/atom
data_Na3Sb2Au3
_chemical_formula_sum 'Na12 Sb8 Au12'
_cell_length_a 8.884
_cell_length_b 16.447
_cell_length_c 5.899
_cell_angle_alpha 90.00
_cell_angle_beta 90.00
_cell_angle_gamma 90.00
_symmetry_space_group_name_H-M 'P 1'
_symmetry_Int_Tables_number 1
_symmetry_space_group_name_Hall 'P 1'
loop_
_atom_site_label
_atom_site_type_symbol
_atom_site_fract_x
_atom_site_fract_y
_atom_site_fract_z
_atom_site_occupancy
Na1 Na 0.052 0.105 0.097 1
Na2 Na 0.052 0.395 0.097 1
Na3 Na 0.198 0.250 0.573 1
Na4 Na 0.302 0.750 0.073 1
Na5 Na 0.448 0.605 0.597 1
Na6 Na 0.448 0.895 0.597 1
Na7 Na 0.552 0.105 0.403 1
Na8 Na 0.552 0.395 0.403 1
Na9 Na 0.698 0.250 0.927 1
Na10 Na 0.802 0.750 0.427 1
Na11 Na 0.948 0.605 0.903 1
Na12 Na 0.948 0.895 0.903 1
Sb1 Sb 0.092 0.600 0.419 1
Sb2 Sb 0.092 0.900 0.419 1
Sb3 Sb 0.408 0.100 0.919 1
Sb4 Sb 0.408 0.400 0.919 1
Sb5 Sb 0.592 0.600 0.081 1
Sb6 Sb 0.592 0.900 0.081 1
Sb7 Sb 0.908 0.100 0.581 1
Sb8 Sb 0.908 0.400 0.581 1
Au1 Au 0.163 0.750 0.558 1
Au2 Au 0.199 0.033 0.648 1
Au3 Au 0.199 0.467 0.648 1
Au4 Au 0.301 0.533 0.148 1
Au5 Au 0.301 0.967 0.148 1
Au6 Au 0.337 0.250 0.058 1
Au7 Au 0.663 0.750 0.942 1
Au8 Au 0.699 0.033 0.852 1
Au9 Au 0.699 0.467 0.852 1
Au10 Au 0.801 0.533 0.352 1
Au11 Au 0.801 0.967 0.352 1
Au12 Au 0.837 0.250 0.442 1